Computed, not measured: an optimized crystal structure of BeSb2Se at the PBE-GGA level of DFT.

Output
Total magnetization = 0.00 μB/cell
Density of states at the Fermi level = 2.22 states/eV/f.u.
Relative energy among the computed polymorphs = 0.5693 eV/atom
Formation energy from raw total energies = 2.0 eV per formula unit

Unit cell a=3.571 b=4.395 c=5.817 alpha=90.00 beta=90.00 gamma=90.00
Positions (direct):
Be 0.000 0.000 0.000
Sb 0.000 0.500 0.500
Sb 0.500 0.500 0.000
Se 0.500 0.000 0.500